A relaxed Sc5NiOs4 crystal, computed with PBE.

Computed properties:
The value obtained for the formation enthalpy at 0 K is -9.2 kcal/mol of atoms. Its symmetry is P4/mmm (123).

a b c (Å): 3.2268 3.2268 15.9481
angles (deg): 90.00 90.00 90.00
Fractional positions:
Sc (0.5000, 0.5000, 0.0993)
Sc (0.5000, 0.5000, 0.2981)
Sc (0.5000, 0.5000, 0.5000)
Sc (0.5000, 0.5000, 0.7019)
Sc (0.5000, 0.5000, 0.9007)
Ni (0.0000, 0.0000, 0.0000)
Os (0.0000, 0.0000, 0.1949)
Os (0.0000, 0.0000, 0.3992)
Os (0.0000, 0.0000, 0.6008)
Os (0.0000, 0.0000, 0.8051)